1.
Below is crystalline AcPr2Er2 at its relaxed geometry, with properties calculated at the GGA-PBE level.

Calculated values
Offset from the most stable computed form in meV/atom: 96.7
Volume in Å³/cell: 727.5
Density of states at the Fermi level in states/eV/atom: 1.68
Crystal system: orthorhombic
ΔH_f (0 K) in eV/atom: 0.143

Unit cell a=5.9930 b=7.2849 c=16.6625 alpha=90.00 beta=90.00 gamma=90.00
Closest atoms and distances in Å follow each position.
Space group Imma (No. 74)
Symmetry-distinct sites (fractional):
Ac: 0.0000 0.2500 0.1080 [4 per cell]  5 Er 3.54-3.81, 6 Pr 3.78-3.85
Pr: 0.0000 0.0046 0.6895 [8 per cell]  5 Er 3.56-3.73, 4 Pr 3.58-3.71, 3 Ac 3.78-3.85
Er: 0.0000 0.2500 0.5048 [4 per cell]  2 Ac 3.54, 4 Pr 3.56-3.73, 4 Er 3.56-3.65
Er: 0.0000 0.2500 0.8793 [4 per cell]  2 Er 3.56, 6 Pr 3.63-3.67, 3 Ac 3.65-3.81



2.
Below is crystalline SiTc2W at its relaxed geometry, with properties calculated at the GGA-PBE level.

Calculated values
Volume in Å³/cell: 57.1
Raw formation energy in eV/atom: -0.09
Density of states at the Fermi level in states/eV/atom: 0.89
Crystal system: tetragonal

Unit cell a=2.8792 b=2.8792 c=6.8907 alpha=90.00 beta=90.00 gamma=90.00
Closest atoms and distances in Å follow each position.
Space group P4mm (No. 99)
Symmetry-distinct sites (fractional):
Si: 0.0000 0.0000 0.0000 [1 per cell]  4 Tc 2.53, 4 W 2.65
Tc: 0.0000 0.0000 0.4738 [1 per cell]  8 Tc 2.70-2.88, 4 W 2.80
Tc: 0.5000 0.5000 0.2168 [1 per cell]  4 Si 2.53, 4 Tc 2.70
W: 0.5000 0.5000 0.7529 [1 per cell]  4 Si 2.65, 4 Tc 2.80, 4 W 2.88



3.
Below is crystalline Sm2P2Pd3 at its relaxed geometry, with properties calculated at the GGA-PBE level.

Calculated values
Volume in Å³/cell: 258.4
Density of states at the Fermi level in states/eV/atom: 0.53
Crystal system: monoclinic
ΔH_f (0 K) in eV/atom: -0.992

Unit cell a=10.1022 b=3.9998 c=7.0471 alpha=90.00 beta=114.84 gamma=90.00
Closest atoms and distances in Å follow each position.
Space group C2/m (No. 12)
Symmetry-distinct sites (fractional):
Sm: 0.1328 0.0000 0.2693 [4 per cell]  4 P 2.90-3.03, 6 Pd 3.06-3.21
P: 0.1540 0.0000 0.7109 [4 per cell]  5 Pd 2.52-2.64
Pd: 0.0000 0.5000 0.5000 [2 per cell]  4 P 2.59, 2 Pd 2.80
Pd: 0.1286 0.5000 0.9385 [4 per cell]  3 P 2.52-2.64, 1 Pd 2.80



4.
Below is crystalline Sm6Tm4Zr at its relaxed geometry, with properties calculated at the GGA-PBE level.

Calculated values
Volume in Å³/cell: 691.0
Density of states at the Fermi level in states/eV/atom: 1.61
Crystal system: tetragonal
ΔH_f (0 K) in eV/atom: 0.166

Unit cell a=8.7038 b=8.7038 c=9.1211 alpha=90.00 beta=90.00 gamma=90.00
Closest atoms and distances in Å follow each position.
Space group P4/mnc (No. 128)
Symmetry-distinct sites (fractional):
Sm: 0.0000 0.0000 0.1764 [4 per cell]  1 Zr 2.95, 1 Sm 3.22
Sm: 0.1482 0.3455 0.5000 [8 per cell]  1 Zr 3.27, 6 Tm 3.38-3.47
Tm: 0.1463 0.6463 0.2500 [8 per cell]  8 Sm 3.38-3.47, 1 Tm 3.60
Zr: 0.0000 0.0000 0.5000 [2 per cell]  6 Sm 2.95-3.27



5.
Below is crystalline Sr4PdBr5 at its relaxed geometry, with properties calculated at the GGA-PBE level.

Calculated values
Volume in Å³/cell: 758.0
Raw formation energy in eV/atom: -1.67
Density of states at the Fermi level in states/eV/atom: 0.36
Crystal system: monoclinic

Unit cell a=19.3911 b=4.4838 c=9.0986 alpha=90.00 beta=106.63 gamma=90.00
Closest atoms and distances in Å follow each position.
Space group C2/m (No. 12)
Symmetry-distinct sites (fractional):
Sr: 0.0016 0.0000 0.2425 [4 per cell]  4 Br 3.09-3.25, 2 Pd 3.14
Sr: 0.1613 0.5000 0.1027 [4 per cell]  1 Pd 3.00, 5 Br 3.06-3.19
Pd: 0.0000 0.5000 0.0000 [2 per cell]  6 Sr 3.00-3.14
Br: 0.0000 0.5000 0.5000 [2 per cell]  4 Sr 3.25
Br: 0.1680 0.0000 0.3345 [4 per cell]  3 Sr 3.06-3.09
Br: 0.1704 0.0000 0.8635 [4 per cell]  4 Sr 3.16-3.20



6.
Below is crystalline TaGeRu at its relaxed geometry, with properties calculated at the GGA-PBE level.

Calculated values
Volume in Å³/cell: 560.8
Density of states at the Fermi level in states/eV/atom: 0.61
Crystal system: orthorhombic
ΔH_f (0 K) in eV/atom: -0.380

Unit cell a=7.5056 b=11.2772 c=6.6254 alpha=90.00 beta=90.00 gamma=90.00
Closest atoms and distances in Å follow each position.
Space group Ima2 (No. 46)
Symmetry-distinct sites (fractional):
Ta: 0.2500 0.0025 0.0000 [4 per cell]  5 Ge 2.70-2.78, 4 Ru 2.82-2.92
Ta: 0.2500 0.2353 0.3423 [4 per cell]  6 Ge 2.68-3.00, 2 Ru 2.88
Ta: 0.2500 0.6903 0.8854 [4 per cell]  5 Ge 2.72-2.97, 6 Ru 2.75-2.87
Ge: 0.0068 0.6670 0.5835 [8 per cell]  3 Ru 2.53-2.54, 6 Ta 2.69-2.77
Ge: 0.2500 0.0455 0.5867 [4 per cell]  6 Ru 2.53-2.57, 2 Ta 2.68-2.78
Ru: 0.0000 0.0000 0.3382 [4 per cell]  4 Ge 2.53-2.55
Ru: 0.0469 0.6226 0.2114 [8 per cell]  4 Ge 2.53-2.57, 2 Ta 2.75-2.82



7.
Below is crystalline CeTh6Sn at its relaxed geometry, with properties calculated at the GGA-PBE level.

Calculated values
Volume in Å³/cell: 541.8
Density of states at the Fermi level in states/eV/atom: 1.79
Crystal system: monoclinic
ΔH_f (0 K) in eV/atom: 0.252

Unit cell a=8.8072 b=6.9265 c=9.1093 alpha=90.00 beta=102.84 gamma=90.00
Closest atoms and distances in Å follow each position.
Space group C2/m (No. 12)
Symmetry-distinct sites (fractional):
Ce: 0.0000 0.0000 0.0000 [2 per cell]  2 Th 3.03
Th: 0.1476 0.5000 0.9334 [4 per cell]  1 Ce 3.03, 3 Th 3.10-3.37
Th: 0.1930 0.2647 0.3044 [8 per cell]  3 Th 3.26-3.49, 2 Sn 3.28-3.32, 1 Ce 3.44
Sn: 0.0000 0.0000 0.5000 [2 per cell]  8 Th 3.28-3.32



8.
Below is crystalline ThSi2Ir at its relaxed geometry, with properties calculated at the GGA-PBE level.

Calculated values
Volume in Å³/cell: 606.7
Raw formation energy in eV/atom: -0.95
Density of states at the Fermi level in states/eV/atom: 0.39
Crystal system: orthorhombic

Unit cell a=4.3586 b=8.6625 c=16.0700 alpha=90.00 beta=90.00 gamma=90.00
Closest atoms and distances in Å follow each position.
Space group Immm (No. 71)
Symmetry-distinct sites (fractional):
Th: 0.0000 0.0000 0.2067 [4 per cell]  8 Si 2.98-3.05, 6 Ir 3.18-3.23
Th: 0.0000 0.2452 0.0000 [4 per cell]  4 Ir 3.22, 10 Si 3.27-3.33
Si: 0.0000 0.0000 0.4250 [4 per cell]  1 Si 2.41, 2 Ir 2.43
Si: 0.0000 0.3484 0.1964 [8 per cell]  3 Ir 2.46-2.66, 1 Si 2.63
Si: 0.0000 0.5000 0.4260 [4 per cell]  1 Si 2.38, 2 Ir 2.48
Ir: 0.0000 0.2472 0.3529 [8 per cell]  5 Si 2.43-2.66



9.
Below is crystalline Ba2AlTl at its relaxed geometry, with properties calculated at the GGA-PBE level.

Calculated values
Offset from the most stable computed form in meV/atom: 0.0
Volume in Å³/cell: 146.9
Density of states at the Fermi level in states/eV/atom: 0.50
Crystal system: monoclinic
ΔH_f (0 K) in eV/atom: -0.217

Unit cell a=4.1845 b=5.6202 c=6.2468 alpha=90.00 beta=90.06 gamma=90.00
Closest atoms and distances in Å follow each position.
Space group Pm (No. 6)
Symmetry-distinct sites (fractional):
Ba: 0.0000 0.0000 0.0000 [1 per cell]  4 Tl 3.56-3.97, 4 Al 3.59, 2 Ba 3.80
Ba: 0.0014 0.5000 0.5911 [1 per cell]  4 Al 3.57-3.96, 4 Tl 3.60, 2 Ba 3.80
Al: 0.5004 0.5000 0.1277 [1 per cell]  2 Tl 3.50, 6 Ba 3.57-3.59
Tl: 0.5010 0.0000 0.4610 [1 per cell]  2 Al 3.50, 6 Ba 3.56-3.60



10.
Below is crystalline ScRu2 at its relaxed geometry, with properties calculated at the GGA-PBE level.

Calculated values
Volume in Å³/cell: 189.1
Density of states at the Fermi level in states/eV/atom: 1.09
Crystal system: orthorhombic
ΔH_f (0 K) in eV/atom: -0.136

Unit cell a=5.3602 b=4.3742 c=8.0656 alpha=90.00 beta=90.00 gamma=90.00
Closest atoms and distances in Å follow each position.
Space group Pnma (No. 62)
Symmetry-distinct sites (fractional):
Sc: 0.1688 0.2500 0.0919 [4 per cell]  8 Ru 2.67-2.91
Ru: 0.0147 0.2500 0.7457 [4 per cell]  5 Ru 2.65-2.79, 3 Sc 2.73-2.91
Ru: 0.1648 0.2500 0.4322 [4 per cell]  3 Ru 2.65-2.79, 5 Sc 2.67-2.75



11.
Below is crystalline CeTc2C3 at its relaxed geometry, with properties calculated at the GGA-PBE level.

Calculated values
Volume in Å³/cell: 352.4
Density of states at the Fermi level in states/eV/atom: 0.52
Crystal system: orthorhombic
ΔH_f (0 K) in eV/atom: 0.142

Unit cell a=7.2363 b=9.1511 c=5.3213 alpha=90.00 beta=90.00 gamma=90.00
Closest atoms and distances in Å follow each position.
Space group Cmcm (No. 63)
Symmetry-distinct sites (fractional):
Ce: 0.0000 0.2076 0.2500 [4 per cell]  2 C 2.56
Tc: 0.1948 0.5000 0.0000 [8 per cell]  4 C 2.04-2.10
C: 0.0000 0.4310 0.7500 [4 per cell]  4 Tc 2.04
C: 0.0950 0.0620 0.7500 [8 per cell]  1 C 1.38